1.
A geometry-optimized Zr2CoRe3 structure, computed with PBE.

Computed properties:
- ΔE_f (kJ/mol of atoms) = -32
- N(E_F) (states/eV per atom) = 1.078

abc: 5.1894 5.1894 12.9649
angles: 90.00 90.00 120.00
Space group R-3m (No. 166, hexagonal axes)
Inequivalent atoms, fractional coordinates:
1 Zr 0.0000 0.0000 0.1239 x6
2 Co 0.0000 0.0000 0.5000 x3
3 Re 0.0000 0.5000 0.0000 x9

2.
A geometry-optimized ThNb6 structure, computed with PBE.

Computed properties:
- ΔE_f (kJ/mol of atoms) = 172
- N(E_F) (states/eV per atom) = 2.482

abc: 7.1898 7.1898 7.1898
angles: 90.00 90.00 90.00
Space group Im-3m (No. 229)
Inequivalent atoms, fractional coordinates:
1 Th 0.0000 0.0000 0.0000 x2
2 Nb 0.0000 0.2500 0.5000 x12

3.
A geometry-optimized TmTh2Sc7 structure, computed with PBE.

Computed properties:
- ΔE_f (kJ/mol of atoms) = 20
- polymorph energy (0 for the lowest one) (meV per atom) = 166
- N(E_F) (states/eV per atom) = 1.793

abc: 6.1343 27.0431 3.2676
angles: 90.00 90.00 90.00
Space group Cmmm (No. 65)
Inequivalent atoms, fractional coordinates:
1 Tm 0.0000 0.0000 0.0000 x2
2 Th 0.0000 0.1998 0.5000 x4
3 Sc 0.0000 0.3091 0.0000 x4
4 Sc 0.0000 0.5000 0.5000 x2
5 Sc 0.2487 0.4004 0.5000 x8

4.
A geometry-optimized Ac8Co2Pd3 structure, computed with PBE.

Computed properties:
- ΔE_f (kJ/mol of atoms) = -35
- N(E_F) (states/eV per atom) = 0.803

abc: 15.2167 8.6625 7.3016
angles: 90.00 109.50 90.00
Space group C2/m (No. 12)
Inequivalent atoms, fractional coordinates:
1 Ac 0.1270 0.0000 0.2406 x4
2 Ac 0.1316 0.5000 0.2279 x4
3 Ac 0.1348 0.2438 0.7672 x8
4 Co 0.2482 0.5000 0.9935 x4
5 Pd 0.0000 0.0000 0.5000 x2
6 Pd 0.0000 0.2522 0.0000 x4

5.
A geometry-optimized Mo3IrRu structure, computed with PBE.

Computed properties:
- ΔE_f (kJ/mol of atoms) = 166
- polymorph energy (0 for the lowest one) (meV per atom) = 0
- N(E_F) (states/eV per atom) = 1.116

abc: 4.5927 4.5927 4.5927
angles: 90.00 90.00 90.00
Space group Pm-3m (No. 221)
Inequivalent atoms, fractional coordinates:
1 Mo 0.0000 0.0000 0.5000 x3
2 Ir 0.5000 0.5000 0.5000 x1
3 Ru 0.0000 0.0000 0.0000 x1

6.
A geometry-optimized AcTb4Nd2Ho structure, computed with PBE.

Computed properties:
- ΔE_f (kJ/mol of atoms) = 3
- N(E_F) (states/eV per atom) = 1.410

abc: 5.1456 5.1700 10.2435
angles: 90.00 90.00 90.00
Space group Pmmm (No. 47)
Inequivalent atoms, fractional coordinates:
1 Ac 0.0000 0.0000 0.0000 x1
2 Tb 0.0000 0.5000 0.2580 x2
3 Tb 0.5000 0.0000 0.2578 x2
4 Nd 0.0000 0.0000 0.5000 x1
5 Nd 0.5000 0.5000 0.0000 x1
6 Ho 0.5000 0.5000 0.5000 x1

The lowest N(E_F) belongs to which entry? Ac8Co2Pd3